Here is an optimized crystal structure of NaCuHF6 from Alexandria. Energies are from PBE-GGA.

Values from the calculation:
For the total magnetization, the calculation gives 0.12 μB/atom. The calculated total energy is -34.3 eV per cell. The value obtained for the calculated density is 2.960 Mg/m³.

Cell: 4.9692 5.0002 5.1976 Å, 89.93 61.58 85.13°
With the nearest neighbours (Å) after each atom.
Space group P1 (No. 1)
Inequivalent atoms, fractional coordinates:
Na (0.0000, 0.0000, 0.0000)  6 F 2.30-2.46
Cu (0.2928, 0.5080, 0.3650)  5 F 1.79-1.99
H (0.7801, 0.5173, 0.8572)  2 F 1.13-1.18
F (0.0202, 0.7743, 0.3776)  1 Cu 1.80
F (0.2561, 0.3209, 0.0906)  1 Cu 1.80
F (0.3446, 0.7011, 0.6266)  1 Cu 1.80
F (0.5589, 0.2417, 0.3642)  1 Cu 1.79
F (0.6370, 0.6802, 0.0293)  1 H 1.13
F (0.9469, 0.3426, 0.6898)  1 H 1.18